{
  "formula": "YTl2In",
  "functional": "PBE-GGA",
  "state": "optimized geometry",
  "lattice": [[-2.304, 2.304, 5.062], [2.304, -2.304, 5.062], [2.304, 2.304, -5.062]],
  "species": ["Y", "Tl", "Tl", "In"],
  "frac_coords": [[0.000, 0.000, 0.000], [0.499, 0.499, 0.000], [0.749, 0.249, 0.500], [0.250, 0.750, 0.500]],
  "ef_ev_per_atom": -0.239
}

{
  "formula": "KH2ICl8",
  "functional": "PBE-GGA",
  "state": "optimized geometry",
  "lattice": [[6.874, 0.000, 0.000], [2.216, 7.069, 0.000], [2.429, 2.931, 7.851]],
  "species": ["K", "H", "H", "I", "Cl", "Cl", "Cl", "Cl", "Cl", "Cl", "Cl", "Cl"],
  "frac_coords": [[0.000, 0.000, 0.000], [0.443, 0.238, 0.217], [0.557, 0.762, 0.783], [0.000, 0.500, 0.500], [0.043, 0.471, 0.786], [0.142, 0.814, 0.365], [0.359, 0.289, 0.464], [0.498, 0.201, 0.075], [0.502, 0.799, 0.925], [0.641, 0.711, 0.536], [0.858, 0.186, 0.635], [0.957, 0.529, 0.214]],
  "dft_energy_ev_per_atom": -2.586
}

{
  "formula": "CaLaP",
  "functional": "PBE-GGA",
  "state": "optimized geometry",
  "lattice": [[0.000, 3.554, 3.554], [3.554, 0.000, 3.554], [3.554, 3.554, 0.000]],
  "species": ["Ca", "La", "P"],
  "frac_coords": [[0.000, 0.000, 0.000], [0.750, 0.750, 0.750], [0.500, 0.500, 0.500]],
  "ef_ev_per_atom": 0.057
}

| no. | V (Å³/atom) | total magnetization (μB per atom) |
| --- | --- | --- |
| 1 | 26.9 | 0.000 |
| 2 | 31.8 | 0.000 |
| 3 | 29.9 | 0.001 |